LiCd | OQMD via LeMat-Bulk | PBE | optimized geometry; final energy = -1.362 eV per atom; density = 5.077 Mg/m³; SG = P6_3/mmc; volume = 19.5 A^3/atom
1.0
3.949 0.000 0.000
-1.974 3.420 0.000
0.000 0.000 5.782
Li Cd
2 2
direct
0.000 0.000 0.000 Li
0.000 0.000 0.500 Li
0.333 0.667 0.250 Cd
0.667 0.333 0.750 Cd